Run 1
Y4InAu (PBE-GGA, optimized geometry); calculated density = 6.65 g/cm³
1.0
4.925 0.000 -2.271
0.000 6.987 0.000
-0.224 0.000 9.790
Y In Au
8 2 2
Direct
0.617 0.250 0.439
0.383 0.750 0.561
0.662 0.250 0.883
0.338 0.750 0.117
0.938 0.011 0.243
0.062 0.511 0.757
0.938 0.489 0.243
0.062 0.989 0.757
0.315 0.250 0.080
0.685 0.750 0.920
0.224 0.250 0.559
0.776 0.750 0.441



Run 2
Y4InAu (PBE-GGA, optimized geometry); calculated density = 6.51 g/cm³
1.0
0.000 4.400 4.400
4.400 0.000 4.400
4.400 4.400 0.000
Y In Au
4 1 1
Direct
0.876 0.375 0.375
0.375 0.375 0.876
0.375 0.876 0.375
0.375 0.375 0.375
0.000 0.000 0.000
0.750 0.750 0.750



Verdict on stability: run 2 comes out at the bottom.



Run 1
Y2In2Au (PBE-GGA, optimized geometry); calculated density = 7.90 g/cm³
1.0
-2.347 4.900 4.895
4.344 -2.984 5.070
3.504 2.946 -1.269
Y Au In
4 2 4
Direct
0.168 0.668 0.500
0.668 0.832 0.500
0.832 0.332 0.500
0.332 0.168 0.500
0.000 0.000 0.000
0.500 0.500 0.000
0.361 0.861 0.000
0.861 0.639 0.000
0.639 0.139 0.000
0.139 0.361 0.000



Run 2
Y2In2Au (PBE-GGA, optimized geometry); calculated density = 7.09 g/cm³
1.0
7.622 0.000 0.000
0.000 7.622 0.000
0.000 0.000 4.875
Y Au In
4 2 4
Direct
0.343 0.843 0.000
0.843 0.657 0.000
0.657 0.157 0.000
0.157 0.343 0.000
0.000 0.000 0.000
0.500 0.500 0.000
0.146 0.646 0.500
0.646 0.854 0.500
0.854 0.354 0.500
0.354 0.146 0.500



Verdict on stability: run 2 comes out at the bottom.



Run 1
Zn2InAu6 (PBE-GGA, optimized geometry); calculated density = 14.52 g/cm³
1.0
4.615 0.065 -0.116
-0.309 7.896 -3.820
0.114 0.382 8.768
Zn In Au
4 2 12
Direct
0.500 0.659 0.841
0.000 0.159 0.341
0.500 0.341 0.159
0.000 0.841 0.659
0.250 0.250 0.750
0.750 0.750 0.250
0.497 0.671 0.528
0.003 0.472 0.329
0.503 0.329 0.472
0.997 0.528 0.671
0.250 0.913 0.413
0.250 0.587 0.087
0.750 0.087 0.587
0.750 0.413 0.913
0.003 0.829 0.972
0.497 0.028 0.171
0.997 0.171 0.028
0.503 0.972 0.829



Run 2
Zn2InAu6 (PBE-GGA, optimized geometry); calculated density = 13.20 g/cm³
1.0
-0.124 -0.555 4.286
2.345 -5.943 1.478
6.828 0.614 2.458
Zn In Au
2 1 6
Direct
0.202 0.912 0.683
0.798 0.088 0.317
0.000 0.500 0.500
0.730 0.689 0.850
0.270 0.311 0.150
0.071 0.769 0.089
0.419 0.820 0.342
0.929 0.231 0.911
0.581 0.180 0.658



Verdict on stability: run 2 comes out at the bottom.



Run 1
ZnIn2Au4 (PBE-GGA, optimized geometry); calculated density = 12.17 g/cm³
1.0
-4.811 4.558 1.568
0.099 -0.390 -6.805
-2.691 -6.398 3.716
Zn In Au
2 4 8
Direct
0.289 0.788 0.500
0.962 0.961 0.000
0.625 0.375 0.750
0.625 0.875 0.250
0.624 0.374 0.249
0.125 0.376 0.750
0.006 0.290 0.351
0.243 0.460 0.148
0.939 0.655 0.647
0.750 0.983 0.664
0.319 0.086 0.338
0.310 0.094 0.852
0.501 0.768 0.837
0.931 0.664 0.163



Run 2
ZnIn2Au4 (PBE-GGA, optimized geometry); calculated density = 11.91 g/cm³
1.0
-0.359 6.658 -2.100
0.097 -2.364 -7.513
-5.479 -0.260 0.114
Zn In Au
2 4 8
Direct
0.250 0.098 0.837
0.750 0.902 0.163
0.250 0.430 0.047
0.750 0.570 0.953
0.750 0.295 0.468
0.250 0.705 0.532
0.550 0.915 0.721
0.250 0.785 0.048
0.750 0.215 0.952
0.950 0.915 0.721
0.750 0.646 0.455
0.050 0.085 0.279
0.450 0.085 0.279
0.250 0.354 0.545



Verdict on stability: run 2 comes out at the bottom.



Run 1
ZnInAu6 (PBE-GGA, optimized geometry); calculated density = 15.51 g/cm³
1.0
-5.088 1.721 4.513
-6.675 0.492 -0.095
-1.883 -3.846 2.632
Zn In Au
1 1 6
Direct
0.500 0.500 0.500
0.000 0.000 0.000
0.623 0.623 0.877
0.877 0.877 0.623
0.257 0.257 0.743
0.123 0.123 0.377
0.377 0.377 0.123
0.743 0.743 0.257



Run 2
ZnInAu6 (PBE-GGA, optimized geometry); calculated density = 15.61 g/cm³
1.0
4.249 0.000 0.000
0.000 4.249 0.000
0.000 0.000 8.027
Zn In Au
1 1 6
Direct
0.000 0.000 0.500
0.000 0.000 0.000
0.500 0.500 0.000
0.500 0.500 0.500
0.500 0.000 0.260
0.500 0.000 0.740
0.000 0.500 0.260
0.000 0.500 0.740



Verdict on stability: run 1 comes out at the bottom.



Run 1
Zn3InAu6 (PBE-GGA, optimized geometry); calculated density = 12.84 g/cm³
1.0
6.790 0.000 0.000
0.000 7.953 -1.047
0.000 -2.796 7.519
Zn In Au
6 2 12
Direct
0.523 0.902 0.700
0.023 0.700 0.902
0.316 0.412 0.588
0.816 0.588 0.412
0.023 0.098 0.300
0.523 0.300 0.098
0.951 0.166 0.834
0.451 0.834 0.166
0.169 0.728 0.612
0.669 0.612 0.728
0.250 0.447 0.935
0.750 0.935 0.447
0.247 0.019 0.981
0.588 0.259 0.741
0.088 0.741 0.259
0.747 0.981 0.019
0.250 0.065 0.553
0.750 0.553 0.065
0.169 0.388 0.272
0.669 0.272 0.388



Run 2
Zn3InAu6 (PBE-GGA, optimized geometry); calculated density = 14.18 g/cm³
1.0
4.362 0.000 0.000
0.000 8.446 -0.897
0.000 -0.662 9.557
Zn In Au
6 2 12
Direct
0.250 0.544 0.408
0.750 0.456 0.592
0.250 0.336 0.822
0.750 0.664 0.178
0.250 0.754 0.984
0.750 0.246 0.016
0.250 0.928 0.610
0.750 0.072 0.390
0.250 0.478 0.100
0.750 0.522 0.900
0.250 0.173 0.215
0.750 0.827 0.785
0.250 0.604 0.707
0.750 0.396 0.293
0.250 0.264 0.531
0.750 0.736 0.469
0.250 0.833 0.283
0.750 0.167 0.717
0.250 0.056 0.913
0.750 0.944 0.087



Verdict on stability: run 1 comes out at the bottom.



Run 1
ZnInAu4 (PBE-GGA, optimized geometry); calculated density = 14.40 g/cm³
1.0
5.115 0.000 -1.639
0.000 5.734 0.000
-0.001 0.000 7.613
Zn In Au
2 2 8
Direct
0.227 0.250 0.517
0.773 0.750 0.483
0.349 0.250 0.137
0.651 0.750 0.863
0.704 0.250 0.494
0.296 0.750 0.506
0.636 0.250 0.855
0.364 0.750 0.145
0.896 0.002 0.210
0.104 0.502 0.790
0.896 0.498 0.210
0.104 0.998 0.790



Run 2
ZnInAu4 (PBE-GGA, optimized geometry); calculated density = 13.16 g/cm³
1.0
2.933 -3.993 2.543
-2.616 -4.363 2.265
0.453 -5.037 -2.332
Zn In Au
1 1 4
Direct
0.000 0.000 0.000
0.750 0.750 0.750
0.876 0.375 0.375
0.375 0.375 0.876
0.375 0.876 0.375
0.375 0.375 0.375



Verdict on stability: run 2 comes out at the bottom.



Run 1
ZnInAu3 (PBE-GGA, optimized geometry); calculated density = 12.73 g/cm³
1.0
-2.777 -1.719 3.716
5.506 -3.069 2.695
-1.572 6.425 1.798
Zn In Au
2 2 6
Direct
0.000 0.000 0.000
0.500 0.000 0.000
0.750 0.667 0.333
0.250 0.333 0.667
0.750 0.610 0.805
0.250 0.805 0.610
0.250 0.390 0.195
0.750 0.195 0.390
0.250 0.805 0.195
0.750 0.195 0.805



Run 2
ZnInAu3 (PBE-GGA, optimized geometry); calculated density = 10.78 g/cm³
1.0
4.915 0.000 0.000
0.000 4.915 0.000
0.000 0.000 4.915
Zn Au In
1 3 1
Direct
0.000 0.000 0.000
0.000 0.500 0.000
0.000 0.000 0.500
0.500 0.000 0.000
0.500 0.500 0.500



Verdict on stability: run 2 comes out at the bottom.